Entry 1:
! Y2RuCl, optimized geometry, DFT PBEsol; values from VASP
&SYSTEM
  ibrav = 0, nat = 4, ntyp = 3
/
ATOMIC_SPECIES
Y 88.91 Y.upf
Ru 101.07 Ru.upf
Cl 35.45 Cl.upf
CELL_PARAMETERS angstrom
-1.921 1.921 5.516
1.921 -1.921 5.516
1.921 1.921 -5.516
ATOMIC_POSITIONS crystal
Y 0.000 0.000 0.000
Y 0.750 0.250 0.500
Ru 0.250 0.750 0.500
Cl 0.500 0.500 0.000
! Total energy (eV/atom): -6.845
! Polymorph energy (0 for the lowest one) (kJ/mol of formula units): 216
! ΔE_f (raw) (eV per atom): -0.388

***

Entry 2:
! YRuCl2, optimized geometry, DFT PBEsol; values from VASP
&SYSTEM
  ibrav = 0, nat = 4, ntyp = 3
/
ATOMIC_SPECIES
Y 88.91 Y.upf
Ru 101.07 Ru.upf
Cl 35.45 Cl.upf
CELL_PARAMETERS angstrom
3.124 0.000 0.000
0.000 3.124 0.000
0.000 0.000 9.312
ATOMIC_POSITIONS crystal
Y 0.000 0.000 0.000
Ru 0.000 0.000 0.500
Cl 0.500 0.500 0.173
Cl 0.500 0.500 0.827
! Total energy (eV/atom): -5.416
! Polymorph energy (0 for the lowest one) (kJ/mol of formula units): 100
! ΔE_f (raw) (eV per atom): -0.163